12
Lattice="4.195 0.000 0.000 0.000 4.195 0.000 0.000 0.000 12.509" Properties=species:S:1:pos:R:3 comment="Pr2HoPd9, relaxed, DFT PBE-GGA" dos_ef_per_ev_fu=8.24 sg="P4/mmm (123)" ef_ev_per_atom=-0.785 pbc="T T T"
Pd 0.000 2.098 1.998
Pd 2.098 2.098 0.000
Pd 2.098 2.098 8.365
Pd 2.098 0.000 10.511
Pd 0.000 2.098 10.511
Pd 0.000 2.098 6.254
Pd 2.098 2.098 4.143
Pd 2.098 0.000 1.998
Pd 2.098 0.000 6.254
Pr 0.000 0.000 4.117
Pr 0.000 0.000 8.392
Ho 0.000 0.000 0.000

=====

16
Lattice="-2.322 0.864 -3.313 0.978 -3.669 -1.642 -13.164 -6.840 7.443" Properties=species:S:1:pos:R:3 comment="PrHo3Pd12, relaxed, DFT PBE-GGA" dos_ef_per_ev_fu=11.81 sg="P4/mmm (123)" ef_ev_per_atom=-0.851 pbc="T T T"
Pd -9.367 -3.832 2.983
Pd -7.717 -6.099 3.819
Pd -4.469 -4.411 1.982
Pd -6.119 -2.144 1.146
Pd -10.505 -6.512 3.082
Pd -12.604 -5.514 4.813
Pd -1.231 -2.729 0.152
Pd -7.254 -4.823 1.244
Pd -10.954 -7.781 5.649
Pd -4.003 -3.133 -0.594
Pd -0.672 -1.403 -2.478
Pd -2.881 -0.462 -0.684
Pr 0.000 0.000 0.000
Ho -3.345 -1.738 1.891
Ho -9.819 -5.102 5.552
Ho -6.582 -3.420 3.721

=====

19
Lattice="7.135 0.099 0.088 1.024 7.062 0.088 1.024 0.898 7.005" Properties=species:S:1:pos:R:3 comment="Pr2Ho2Pd15, relaxed, DFT PBE-GGA" dos_ef_per_ev_fu=16.20 sg="R-3m (166)" ef_ev_per_atom=-0.577 pbc="T T T"
Ho 8.191 7.189 6.406
Ho 0.991 0.870 0.775
Pr 5.884 5.164 4.602
Pr 3.298 2.895 2.579
Pd 3.713 6.296 2.553
Pd 2.457 5.194 4.629
Pd 0.512 0.449 3.503
Pd 1.024 2.774 4.901
Pd 3.713 3.259 5.962
Pd 1.024 5.187 2.193
Pd 5.469 4.800 1.220
Pd 0.512 3.531 0.044
Pd 2.883 4.943 0.088
Pd 2.883 0.655 4.901
Pd 5.469 1.763 4.629
Pd 6.725 2.865 2.553
Pd 3.568 0.049 0.044
Pd 5.276 0.342 2.193
Pd 5.276 2.217 0.088

=====

7
Lattice="-2.921 -2.204 0.778 5.105 -2.359 3.493 -4.473 7.186 3.559" Properties=species:S:1:pos:R:3 comment="Pr2Ho3Pd2, relaxed, DFT PBE-GGA" dos_ef_per_ev_fu=7.84 sg="C2/m (12)" ef_ev_per_atom=-0.520 pbc="T T T"
Pr -2.515 4.778 4.089
Pr 0.226 -2.155 3.740
Pd 0.109 0.604 2.120
Pd -2.398 2.019 5.709
Ho -2.595 1.275 2.863
Ho 0.306 1.348 4.967
Ho -1.461 -1.102 0.389

=====

10
Lattice="4.018 0.000 0.000 2.009 6.560 0.005 2.009 0.963 10.069" Properties=species:S:1:pos:R:3 comment="Pr2HoPd2, relaxed, DFT PBE-GGA" dos_ef_per_ev_fu=3.91 sg="C2/m (12)" ef_ev_per_atom=-0.665 de_polymorph_ev_per_atom=0.000 pbc="T T T"
Pd 2.009 2.435 4.505
Pd 6.027 5.089 5.569
Pd 6.027 1.805 8.867
Pd 2.009 5.719 1.206
Ho 4.018 6.842 6.462
Ho 4.018 0.682 3.611
Pr 2.009 1.804 0.783
Pr 4.018 3.255 7.009
Pr 6.027 5.720 9.290
Pr 4.018 4.269 3.064

=====

10
Lattice="3.482 0.000 0.000 0.000 3.482 0.000 0.000 0.000 18.016" Properties=species:S:1:pos:R:3 comment="PrHo4Pd5, relaxed, DFT PBE-GGA" dos_ef_per_ev_fu=7.82 sg="P4/mmm (123)" ef_ev_per_atom=-0.862 pbc="T T T"
Pd 1.741 1.741 12.531
Pd 1.741 1.741 15.952
Pd 1.741 1.741 2.064
Pd 1.741 1.741 5.485
Pd 1.741 1.741 9.008
Ho 0.000 0.000 10.770
Ho 0.000 0.000 3.709
Ho 0.000 0.000 14.307
Ho 0.000 0.000 7.247
Pr 0.000 0.000 0.000

=====

no.,E_tot (eV per atom)
1,-5.86
2,-5.90
3,-5.66
4,-5.33
5,-5.57
6,-5.77